Model a:
La2Tb4Th | PBE | optimized geometry

Output
Density of states at the Fermi level, states/eV/f.u.: 10.87
Crystal system: monoclinic
Symmetry: P2/m (10)
Total moment, μB/cell: 0.0

abc: 6.9194 10.4793 7.0537
angles: 90.00 105.25 90.00
With the nearest neighbours (Å) after each atom.
Positions (direct):
La (0.0000, 0.0000, 0.0000)  4 Tb 3.43, 4 La 3.46-3.53
La (0.0000, 0.0000, 0.5000)  4 Tb 3.44, 2 La 3.53
La (0.0000, 0.5000, 0.0000)  8 Tb 3.43-3.77, 2 Th 3.53
La (0.5000, 0.0000, 0.0000)  2 La 3.46, 4 Tb 3.51
Tb (0.2605, 0.2275, 0.3154)  2 Th 3.39-3.79, 3 La 3.43-3.77, 5 Tb 3.52-3.69
Tb (0.2605, 0.7725, 0.3154)  2 Th 3.39-3.79, 3 La 3.43-3.77, 5 Tb 3.52-3.69
Tb (0.2825, 0.2909, 0.8100)  2 Th 3.34-3.69, 2 La 3.43-3.51, 5 Tb 3.46-3.69
Tb (0.2825, 0.7091, 0.8100)  2 Th 3.34-3.69, 2 La 3.43-3.51, 5 Tb 3.46-3.69
Tb (0.7175, 0.2909, 0.1900)  2 Th 3.34-3.69, 2 La 3.43-3.51, 5 Tb 3.46-3.69
Tb (0.7175, 0.7091, 0.1900)  2 Th 3.34-3.69, 2 La 3.43-3.51, 5 Tb 3.46-3.69
Tb (0.7395, 0.2275, 0.6846)  2 Th 3.39-3.79, 3 La 3.43-3.77, 5 Tb 3.52-3.69
Tb (0.7395, 0.7725, 0.6846)  2 Th 3.39-3.79, 3 La 3.43-3.77, 5 Tb 3.52-3.69
Th (0.0000, 0.5000, 0.5000)  4 Tb 3.34, 2 Th 3.46, 2 La 3.53
Th (0.5000, 0.5000, 0.5000)  8 Tb 3.39-3.69, 2 Th 3.46

Model b:
La2Tb4Th | PBE | optimized geometry

Output
Density of states at the Fermi level, states/eV/f.u.: 9.67
Crystal system: tetragonal
Symmetry: I4/mmm (139)
Total moment, μB/cell: 0.0

abc: 9.5246 9.5246 9.5246
angles: 144.96 144.96 50.39
With the nearest neighbours (Å) after each atom.
Positions (direct):
La (0.1189, 0.1189, 0.0000)  5 Tb 3.49-3.52
La (0.8811, 0.8811, 0.0000)  5 Tb 3.49-3.52
Tb (0.0000, 0.5000, 0.5000)  2 Th 2.87
Tb (0.3215, 0.3215, 0.0000)  1 Th 3.08
Tb (0.5000, 0.0000, 0.5000)  2 Th 2.87
Tb (0.6785, 0.6785, 0.0000)  1 Th 3.08
Th (0.5000, 0.5000, 0.0000)  6 Tb 2.87-3.08

Going by the energies, model a is most stable and the next is 0.469 eV/atom up.

Model a:
La2Tb2Th | PBE | optimized geometry

Output
Density of states at the Fermi level, states/eV/f.u.: 7.04
Crystal system: orthorhombic
Symmetry: Cmmm (65)
Total moment, μB/cell: 0.0

abc: 9.3301 9.3301 3.5797
angles: 90.00 90.00 147.20
With the nearest neighbours (Å) after each atom.
Positions (direct):
La (0.1945, 0.8055, 0.0000)  4 La 3.30-3.58, 1 Th 3.48, 4 Tb 3.63
La (0.8055, 0.1945, 0.0000)  4 La 3.30-3.58, 1 Th 3.48, 4 Tb 3.63
Tb (0.4032, 0.5968, 0.5000)  3 Tb 3.47-3.58, 4 Th 3.63, 4 La 3.63
Tb (0.5968, 0.4032, 0.5000)  3 Tb 3.47-3.58, 4 Th 3.63, 4 La 3.63
Th (0.0000, 0.0000, 0.0000)  2 La 3.48, 2 Th 3.58, 8 Tb 3.63

Model b:
La2Tb2Th | PBE | optimized geometry

Output
Density of states at the Fermi level, states/eV/f.u.: 6.69
Crystal system: trigonal
Symmetry: P-3m1 (164)
Total moment, μB/cell: 0.0

abc: 3.6220 3.6220 14.8873
angles: 90.00 90.00 120.00
With the nearest neighbours (Å) after each atom.
Positions (direct):
La (0.3333, 0.6667, 0.3949)  9 La 3.62-3.76, 3 Tb 3.71
La (0.6667, 0.3333, 0.6051)  9 La 3.62-3.76, 3 Tb 3.71
Tb (0.3333, 0.6667, 0.8108)  3 Th 3.51, 6 Tb 3.62, 3 La 3.71
Tb (0.6667, 0.3333, 0.1892)  3 Th 3.51, 6 Tb 3.62, 3 La 3.71
Th (0.0000, 0.0000, 0.0000)  6 Tb 3.51, 6 Th 3.62

Going by the energies, model b is most stable and the next is 0.041 eV/atom up.

Model a:
LaTbTmTh | PBE | optimized geometry

Output
Density of states at the Fermi level, states/eV/f.u.: 4.21
Crystal system: tetragonal
Symmetry: P4mm (99)
Total moment, μB/cell: 0.0

abc: 3.6130 3.6130 10.0505
angles: 90.00 90.00 90.00
With the nearest neighbours (Å) after each atom.
Positions (direct):
La (0.0000, 0.0000, 0.0000)  4 La 3.61, 4 Tm 3.65, 4 Tb 3.70
Tb (0.5000, 0.5000, 0.7343)  4 Th 3.51, 4 Tb 3.61, 4 La 3.70
Tm (0.5000, 0.5000, 0.2592)  4 Th 3.48, 4 Tm 3.61, 4 La 3.65
Th (0.0000, 0.0000, 0.4946)  4 Tm 3.48, 4 Tb 3.51, 4 Th 3.61

Model b:
LaTbTmTh | PBE | optimized geometry

Output
Density of states at the Fermi level, states/eV/f.u.: 6.79
Crystal system: cubic
Symmetry: F-43m (216)
Total moment, μB/cell: 0.0

abc: 5.7109 5.7109 5.7109
angles: 60.00 60.00 60.00
With the nearest neighbours (Å) after each atom.
Positions (direct):
La (0.0000, 0.0000, 0.0000)  4 Tb 3.50, 4 Tm 3.50
Tb (0.7500, 0.7500, 0.7500)  4 La 3.50, 4 Th 3.50
Tm (0.2500, 0.2500, 0.2500)  4 La 3.50, 4 Th 3.50
Th (0.5000, 0.5000, 0.5000)  4 Tb 3.50, 4 Tm 3.50

Going by the energies, model a is most stable and the next is 0.102 eV/atom up.

Model a:
La2Tb3Tl4 | PBE | optimized geometry

Output
Density of states at the Fermi level, states/eV/f.u.: 8.51
Crystal system: orthorhombic
Symmetry: Cmce (64)
Total moment, μB/cell: 0.0

abc: 9.2146 9.2146 9.1897
angles: 90.00 90.00 133.66
With the nearest neighbours (Å) after each atom.
Positions (direct):
La (0.1094, 0.8906, 0.9229)  6 Tl 3.44-3.73, 2 Tb 3.81
La (0.3906, 0.6094, 0.4229)  6 Tl 3.44-3.73, 2 Tb 3.81
La (0.6094, 0.3906, 0.5771)  6 Tl 3.44-3.73, 2 Tb 3.81
La (0.8906, 0.1094, 0.0771)  6 Tl 3.44-3.73, 2 Tb 3.81
Tb (0.0000, 0.0000, 0.5000)  6 Tl 2.99-3.14
Tb (0.0333, 0.4667, 0.7500)  5 Tl 3.08-3.28
Tb (0.4667, 0.0333, 0.2500)  5 Tl 3.08-3.28
Tb (0.5000, 0.5000, 0.0000)  6 Tl 2.99-3.14
Tb (0.5333, 0.9667, 0.7500)  5 Tl 3.08-3.28
Tb (0.9667, 0.5333, 0.2500)  5 Tl 3.08-3.28
Tl (0.1839, 0.8161, 0.5416)  5 Tb 3.13-3.28
Tl (0.2149, 0.2851, 0.7500)  3 Tb 2.99-3.08
Tl (0.2851, 0.2149, 0.2500)  3 Tb 2.99-3.08
Tl (0.3161, 0.6839, 0.0416)  5 Tb 3.13-3.28
Tl (0.6839, 0.3161, 0.9584)  5 Tb 3.13-3.28
Tl (0.7149, 0.7851, 0.7500)  3 Tb 2.99-3.08
Tl (0.7851, 0.7149, 0.2500)  3 Tb 2.99-3.08
Tl (0.8161, 0.1839, 0.4584)  5 Tb 3.13-3.28

Model b:
La2Tb3Tl4 | PBE | optimized geometry

Output
Density of states at the Fermi level, states/eV/f.u.: 9.38
Crystal system: monoclinic
Symmetry: C2/m (12)
Total moment, μB/cell: 0.0

abc: 5.3805 5.3805 10.8990
angles: 90.12 90.12 60.08
With the nearest neighbours (Å) after each atom.
Positions (direct):
La (0.1671, 0.1671, 0.2800)  7 Tl 3.36-3.51
La (0.8329, 0.8329, 0.7200)  7 Tl 3.36-3.51
Tb (0.1665, 0.1665, 0.9256)  4 Tl 3.21-3.53, 3 Tb 3.50-3.51
Tb (0.5000, 0.5000, 0.5000)  6 Tl 3.30
Tb (0.8335, 0.8335, 0.0744)  4 Tl 3.21-3.53, 3 Tb 3.50-3.51
Tl (0.1662, 0.1662, 0.6016)  4 Tb 3.30-3.53, 4 La 3.36-3.51
Tl (0.5002, 0.5002, 0.1470)  1 Tl 3.20, 3 Tb 3.21, 3 La 3.43
Tl (0.4998, 0.4998, 0.8530)  1 Tl 3.20, 3 Tb 3.21, 3 La 3.43
Tl (0.8338, 0.8338, 0.3984)  4 Tb 3.30-3.53, 4 La 3.36-3.51

Going by the energies, model b is most stable and the next is 0.028 eV/atom up.

Model a:
LaTb4Tl2 | PBE | optimized geometry

Output
Density of states at the Fermi level, states/eV/f.u.: 7.83
Crystal system: tetragonal
Symmetry: P4_2/mnm (136)
Total moment, μB/cell: 0.0

abc: 9.3119 9.3119 5.2066
angles: 90.00 90.00 90.00
With the nearest neighbours (Å) after each atom.
Positions (direct):
La (0.0000, 0.0000, 0.0000)  6 Tl 3.67-3.91, 4 Tb 4.09
La (0.5000, 0.5000, 0.5000)  6 Tl 3.67-3.91, 4 Tb 4.09
Tb (0.0897, 0.3439, 0.5000)  3 Tl 3.11-3.20, 2 Tb 3.35
Tb (0.1561, 0.5897, 0.0000)  3 Tl 3.11-3.20, 2 Tb 3.35
Tb (0.3439, 0.0897, 0.5000)  3 Tl 3.11-3.20, 2 Tb 3.35
Tb (0.4103, 0.8439, 0.0000)  3 Tl 3.11-3.20, 2 Tb 3.35
Tb (0.5897, 0.1561, 0.0000)  3 Tl 3.11-3.20, 2 Tb 3.35
Tb (0.6561, 0.9103, 0.5000)  3 Tl 3.11-3.20, 2 Tb 3.35
Tb (0.8439, 0.4103, 0.0000)  3 Tl 3.11-3.20, 2 Tb 3.35
Tb (0.9103, 0.6561, 0.5000)  3 Tl 3.11-3.20, 2 Tb 3.35
Tl (0.2216, 0.7784, 0.5000)  6 Tb 3.11-3.20
Tl (0.2784, 0.2784, 0.0000)  6 Tb 3.11-3.20
Tl (0.7216, 0.7216, 0.0000)  6 Tb 3.11-3.20
Tl (0.7784, 0.2216, 0.5000)  6 Tb 3.11-3.20

Model b:
LaTb4Tl2 | PBE | optimized geometry

Output
Density of states at the Fermi level, states/eV/f.u.: 10.39
Crystal system: orthorhombic
Symmetry: Fmmm (69)
Total moment, μB/cell: 0.0

abc: 8.1043 6.9563 6.4152
angles: 74.49 55.80 49.71
With the nearest neighbours (Å) after each atom.
Positions (direct):
La (0.0000, 0.0000, 0.0000)  2 Tl 3.42, 2 Tb 3.57
Tb (0.2500, 0.2500, 0.2500)  4 Tl 3.23, 6 Tb 3.45-3.58
Tb (0.3300, 0.6700, 0.3300)  2 Tl 3.20, 1 La 3.57, 4 Tb 3.58
Tb (0.6700, 0.3300, 0.6700)  2 Tl 3.20, 1 La 3.57, 4 Tb 3.58
Tb (0.7500, 0.7500, 0.7500)  4 Tl 3.23, 6 Tb 3.45-3.58
Tl (0.2831, 0.2831, 0.7169)  6 Tb 3.20-3.23, 1 La 3.42, 2 Tl 3.55
Tl (0.7169, 0.7169, 0.2831)  6 Tb 3.20-3.23, 1 La 3.42, 2 Tl 3.55

Going by the energies, model a is most stable and the next is 0.048 eV/atom up.